[1]
PBE TmAsPd, optimized geometry; electronic total energy = -5.582 eV/atom; calculated formation energy = -235 kJ/mol of formula units; ρ = 9.5 g/cm3; crystal system = tetragonal
1.0
-1.920 1.920 4.133
1.920 -1.920 4.133
1.920 1.920 -4.133
Tm As Pd
1 1 1
direct
0.000 0.000 0.000
0.341 0.341 0.000
0.652 0.652 0.000


[2]
PBE Ho3Sb2C, optimized geometry; electronic total energy = -5.845 eV/atom; raw formation energy = -0.645 eV per atom; ρ = 8.3 g/cm3; crystal system = orthorhombic
1.0
5.408 -4.275 0.000
5.408 4.275 0.000
0.000 0.000 6.525
Ho Sb C
6 4 2
direct
0.160 0.840 0.750
0.348 0.348 0.000
0.348 0.348 0.500
0.652 0.652 0.000
0.652 0.652 0.500
0.840 0.160 0.250
0.037 0.674 0.250
0.326 0.963 0.250
0.674 0.037 0.750
0.963 0.326 0.750
0.423 0.577 0.750
0.577 0.423 0.250


[3]
PBE U2Zn2Fe3, optimized geometry; electronic total energy = -7.339 eV/atom; calculated formation energy = -83 kJ/mol of formula units; ρ = 11.0 g/cm3; crystal system = monoclinic
1.0
5.811 -2.165 0.000
5.811 2.165 0.000
-0.545 0.000 4.642
U Zn Fe
2 2 3
direct
0.147 0.147 0.369
0.853 0.853 0.631
0.408 0.408 0.134
0.592 0.592 0.866
0.000 0.000 0.000
0.203 0.203 0.811
0.797 0.797 0.189


Question: Among the records above, which one has the highest electronic total energy?
Answer: TmAsPd